[1]
# KSrN (PBE, relaxed)
data_KSrN
_chemical_formula_sum 'K2 Sr2 N2'
_symmetry_space_group_name_H-M 'P m m 2'
_symmetry_Int_Tables_number 25
_symmetry_space_group_name_Hall 'P 2 -2'
_cell_length_a 4.043
_cell_length_b 6.230
_cell_length_c 8.931
_cell_angle_alpha 90.00
_cell_angle_beta 90.00
_cell_angle_gamma 90.00
loop_
_atom_site_label
_atom_site_type_symbol
_atom_site_fract_x
_atom_site_fract_y
_atom_site_fract_z
K1 K 0.000 0.000 0.000
K2 K 0.500 0.500 0.293
Sr1 Sr 0.000 0.000 0.589
Sr2 Sr 0.500 0.500 0.771
N1 N 0.500 0.104 0.766
# Formation energy without anion corrections = -0.191 eV/atom

[2]
# ReGeOs (PBE, relaxed)
data_ReGeOs
_chemical_formula_sum 'Re4 Ge4 Os4'
_symmetry_space_group_name_H-M 'I 21 21 21'
_symmetry_Int_Tables_number 24
_symmetry_space_group_name_Hall 'I 2b 2c'
_cell_length_a 4.022
_cell_length_b 4.027
_cell_length_c 11.992
_cell_angle_alpha 90.00
_cell_angle_beta 90.00
_cell_angle_gamma 90.00
loop_
_atom_site_label
_atom_site_type_symbol
_atom_site_fract_x
_atom_site_fract_y
_atom_site_fract_z
Re1 Re 0.000 0.250 0.184
Ge1 Ge 0.250 0.007 0.000
Os1 Os 0.000 0.250 0.679
# Offset from the most stable computed form = 0.000 eV/atom
# Formation energy = 0.062 eV/atom

[3]
# La8AlIn2 (PBE, relaxed)
data_La8AlIn2
_chemical_formula_sum 'La16 Al2 In4'
_symmetry_space_group_name_H-M 'C 1 2/m 1'
_symmetry_Int_Tables_number 12
_symmetry_space_group_name_Hall '-C 2y'
_cell_length_a 18.987
_cell_length_b 5.404
_cell_length_c 7.561
_cell_angle_alpha 90.00
_cell_angle_beta 111.01
_cell_angle_gamma 90.00
loop_
_atom_site_label
_atom_site_type_symbol
_atom_site_fract_x
_atom_site_fract_y
_atom_site_fract_z
La1 La 0.005 0.000 0.261
La2 La 0.092 0.500 0.949
La3 La 0.156 0.500 0.441
La4 La 0.200 0.000 0.783
Al1 Al 0.000 0.500 0.500
In1 In 0.177 0.000 0.202
# Formation energy = -0.248 eV/atom

[4]
# Li2HgF5 (PBE, relaxed)
data_Li2HgF5
_chemical_formula_sum 'Li8 Hg4 F20'
_symmetry_space_group_name_H-M 'P 1 21/c 1'
_symmetry_Int_Tables_number 14
_symmetry_space_group_name_Hall '-P 2ybc'
_cell_length_a 7.912
_cell_length_b 5.497
_cell_length_c 10.302
_cell_angle_alpha 90.00
_cell_angle_beta 113.63
_cell_angle_gamma 90.00
loop_
_atom_site_label
_atom_site_type_symbol
_atom_site_fract_x
_atom_site_fract_y
_atom_site_fract_z
Li1 Li 0.089 0.008 0.375
Li2 Li 0.409 0.009 0.625
Hg1 Hg 0.000 0.000 0.000
Hg2 Hg 0.500 0.000 0.000
F1 F 0.025 0.665 0.694
F2 F 0.135 0.162 0.584
F3 F 0.250 0.746 0.000
F4 F 0.365 0.163 0.417
F5 F 0.475 0.663 0.305
# Formation energy without anion corrections = -2.021 eV/atom

[5]
# MgZnAs2 (PBE, relaxed)
data_MgZnAs2
_chemical_formula_sum 'Mg1 Zn1 As2'
_symmetry_space_group_name_H-M 'P 1 2/m 1'
_symmetry_Int_Tables_number 10
_symmetry_space_group_name_Hall '-P 2y'
_cell_length_a 4.062
_cell_length_b 3.698
_cell_length_c 5.719
_cell_angle_alpha 90.00
_cell_angle_beta 109.35
_cell_angle_gamma 90.00
loop_
_atom_site_label
_atom_site_type_symbol
_atom_site_fract_x
_atom_site_fract_y
_atom_site_fract_z
Mg1 Mg 0.000 0.000 0.000
Zn1 Zn 0.500 0.000 0.500
As1 As 0.230 0.500 0.709
# Offset from the most stable computed form = 0.021 eV/atom
# Formation energy = -0.079 eV/atom

Copy entry 2 word for word.
# ReGeOs (PBE, relaxed)
data_ReGeOs
_chemical_formula_sum 'Re4 Ge4 Os4'
_symmetry_space_group_name_H-M 'I 21 21 21'
_symmetry_Int_Tables_number 24
_symmetry_space_group_name_Hall 'I 2b 2c'
_cell_length_a 4.022
_cell_length_b 4.027
_cell_length_c 11.992
_cell_angle_alpha 90.00
_cell_angle_beta 90.00
_cell_angle_gamma 90.00
loop_
_atom_site_label
_atom_site_type_symbol
_atom_site_fract_x
_atom_site_fract_y
_atom_site_fract_z
Re1 Re 0.000 0.250 0.184
Ge1 Ge 0.250 0.007 0.000
Os1 Os 0.000 0.250 0.679
# Offset from the most stable computed form = 0.000 eV/atom
# Formation energy = 0.062 eV/atom

Please write out number 2 again, unchanged.
# ReGeOs (PBE, relaxed)
data_ReGeOs
_chemical_formula_sum 'Re4 Ge4 Os4'
_symmetry_space_group_name_H-M 'I 21 21 21'
_symmetry_Int_Tables_number 24
_symmetry_space_group_name_Hall 'I 2b 2c'
_cell_length_a 4.022
_cell_length_b 4.027
_cell_length_c 11.992
_cell_angle_alpha 90.00
_cell_angle_beta 90.00
_cell_angle_gamma 90.00
loop_
_atom_site_label
_atom_site_type_symbol
_atom_site_fract_x
_atom_site_fract_y
_atom_site_fract_z
Re1 Re 0.000 0.250 0.184
Ge1 Ge 0.250 0.007 0.000
Os1 Os 0.000 0.250 0.679
# Offset from the most stable computed form = 0.000 eV/atom
# Formation energy = 0.062 eV/atom